A relaxed structure of Hg5BrO2, computed with PBE.

Structure (extended XYZ):
```
8
Lattice="4.500 0.000 0.000 1.520 6.212 0.000 1.222 2.385 8.140" Properties=species:S:1:pos:R:3 pbc="T T T"
Hg 0.000 0.000 0.000
Hg 1.802 5.533 5.414
Hg 3.043 3.149 0.065
Hg 4.061 3.716 4.904
Hg 4.162 1.313 3.354
Br 3.689 5.458 2.151
O 2.961 6.780 7.200
O 4.380 1.845 0.926
```

Output
For the uncorrected formation energy, the calculation gives -0.18 eV/atom.